Record 1
Below is a relaxed SrAlIr2 crystal, with properties calculated at the GGA-PBE level.

Lattice parameters (Å, degrees): 6.661 6.661 6.661 90.00 90.00 90.00
Space group F-43m (No. 216)
Symmetry-distinct sites (fractional):
Sr 0.000 0.000 0.000 x4
Al 0.250 0.250 0.250 x4
Ir 0.000 0.000 0.500 x4
Ir 0.250 0.250 0.750 x4

Properties
The calculation puts the formation energy at 0.318 eV per atom. The density comes out at 11.21 Mg/m³.

Record 2
Below is a relaxed Sr2AlIr crystal, with properties calculated at the GGA-PBE level.

Lattice parameters (Å, degrees): 4.191 4.872 11.705 90.00 90.00 90.00
Space group Imm2 (No. 44)
Symmetry-distinct sites (fractional):
Sr 0.000 0.000 0.000 x2
Sr 0.000 0.500 0.232 x2
Al 0.000 0.500 0.803 x2
Ir 0.000 0.000 0.404 x2

Properties
The calculation puts the formation energy at -0.237 eV per atom. The density comes out at 5.48 Mg/m³.

Record 3
Below is a relaxed SrAl2Ir crystal, with properties calculated at the GGA-PBE level.

Lattice parameters (Å, degrees): 4.173 4.202 4.561 90.00 90.00 90.00
Space group Pmmm (No. 47)
Symmetry-distinct sites (fractional):
Sr 0.000 0.000 0.000 x1
Al 0.000 0.500 0.500 x1
Al 0.500 0.000 0.500 x1
Ir 0.500 0.500 0.000 x1

Properties
The calculation puts the formation energy at 0.079 eV per atom. The density comes out at 6.93 Mg/m³.

Record 4
Below is a relaxed SrAl2Ir2 crystal, with properties calculated at the GGA-PBE level.

Lattice parameters (Å, degrees): 7.704 7.704 2.908 90.00 90.00 90.00
Space group P4/mbm (No. 127)
Symmetry-distinct sites (fractional):
Sr 0.000 0.000 0.000 x2
Al 0.126 0.374 0.000 x4
Ir 0.162 0.662 0.500 x4

Properties
The calculation puts the formation energy at -0.586 eV per atom. The density comes out at 10.12 Mg/m³.

Record 5
Below is a relaxed Sr2AlIr crystal, with properties calculated at the GGA-PBE level.

Lattice parameters (Å, degrees): 3.568 3.964 7.512 90.00 90.00 90.00
Space group Pmmm (No. 47)
Symmetry-distinct sites (fractional):
Sr 0.000 0.000 0.222 x2
Al 0.500 0.500 0.500 x1
Ir 0.500 0.500 0.000 x1

Properties
The calculation puts the formation energy at 0.036 eV per atom. The density comes out at 6.17 Mg/m³.

Record 6
Below is a relaxed Sr3AlIr crystal, with properties calculated at the GGA-PBE level.

Lattice parameters (Å, degrees): 5.768 5.768 5.768 90.00 90.00 90.00
Space group Pm-3m (No. 221)
Symmetry-distinct sites (fractional):
Sr 0.000 0.000 0.500 x3
Al 0.500 0.500 0.500 x1
Ir 0.000 0.000 0.000 x1

Properties
As for the offset from the most stable computed form: 0.00 eV/f.u. The calculation puts the formation energy at 0.054 eV per atom. The density comes out at 4.17 Mg/m³.

Record 7
Below is a relaxed Sr2Al7Ir crystal, with properties calculated at the GGA-PBE level.

Lattice parameters (Å, degrees): 4.310 4.310 11.404 90.00 90.00 90.00
Space group P-4m2 (No. 115)
Symmetry-distinct sites (fractional):
Sr 0.000 0.500 0.245 x2
Al 0.000 0.000 0.000 x1
Al 0.000 0.000 0.500 x1
Al 0.000 0.500 0.640 x2
Al 0.000 0.500 0.877 x2
Al 0.500 0.500 0.500 x1
Ir 0.500 0.500 0.000 x1

Properties
The calculation puts the formation energy at -0.320 eV per atom. The density comes out at 4.36 Mg/m³.

Record 8
Below is a relaxed Sr4AlIr crystal, with properties calculated at the GGA-PBE level.

Lattice parameters (Å, degrees): 9.156 9.156 9.156 90.00 90.00 90.00
Space group F-43m (No. 216)
Symmetry-distinct sites (fractional):
Sr 0.124 0.124 0.376 x16
Al 0.000 0.000 0.000 x4
Ir 0.250 0.250 0.750 x4

Properties
The calculation puts the formation energy at 0.916 eV per atom. The density comes out at 4.93 Mg/m³.

Record 9
Below is a relaxed SrAlIr2 crystal, with properties calculated at the GGA-PBE level.

Lattice parameters (Å, degrees): 3.0938 3.0938 26.0548 90.00 90.00 120.00
Space group R-3m (No. 166, hexagonal axes)
Symmetry-distinct sites (fractional):
Sr 0.0000 0.0000 0.0000 x3
Al 0.0000 0.0000 0.5000 x3
Ir 0.0000 0.0000 0.2367 x6

Properties
The calculation puts the formation energy at 0.040 eV per atom. The density comes out at 11.51 Mg/m³.

Record 10
Below is a relaxed SrAlIr2 crystal, with properties calculated at the GGA-PBE level.

Lattice parameters (Å, degrees): 8.239 3.047 6.560 90.00 101.27 90.00
Space group C2/m (No. 12)
Symmetry-distinct sites (fractional):
Sr 0.000 0.000 0.000 x2
Al 0.000 0.500 0.500 x2
Ir 0.230 0.000 0.661 x4

Properties
The calculation puts the formation energy at -0.152 eV per atom. The density comes out at 10.26 Mg/m³.

Record 11
Below is a relaxed Sr2Al2Ir crystal, with properties calculated at the GGA-PBE level.

Lattice parameters (Å, degrees): 6.836 6.836 5.264 90.00 90.00 90.00
Space group P4/mbm (No. 127)
Symmetry-distinct sites (fractional):
Sr 0.184 0.316 0.000 x4
Al 0.143 0.643 0.500 x4
Ir 0.000 0.000 0.500 x2

Properties
As for the offset from the most stable computed form: 1.44 eV/f.u. The calculation puts the formation energy at -0.168 eV per atom. The density comes out at 5.69 Mg/m³.

Record 12
Below is a relaxed SrAlIr2 crystal, with properties calculated at the GGA-PBE level.

Lattice parameters (Å, degrees): 2.9683 2.9683 28.8840 90.00 90.00 120.00
Space group R3m (No. 160, hexagonal axes)
Symmetry-distinct sites (fractional):
Sr 0.0000 0.0000 0.0000 x3
Al 0.0000 0.0000 0.7691 x3
Ir 0.0000 0.0000 0.2439 x3
Ir 0.0000 0.0000 0.5028 x3

Properties
The calculation puts the formation energy at 0.399 eV per atom. The density comes out at 11.28 Mg/m³.

Record 13
Below is a relaxed SrAl2Ir crystal, with properties calculated at the GGA-PBE level.

Lattice parameters (Å, degrees): 6.658 6.658 6.658 90.00 90.00 90.00
Space group Fm-3m (No. 225)
Symmetry-distinct sites (fractional):
Sr 0.000 0.000 0.000 x4
Al 0.250 0.250 0.250 x8
Ir 0.000 0.000 0.500 x4

Properties
The calculation puts the formation energy at -0.171 eV per atom. The density comes out at 7.51 Mg/m³.

Record 14
Below is a relaxed SrAlIr2 crystal, with properties calculated at the GGA-PBE level.

Lattice parameters (Å, degrees): 4.040 4.040 9.001 90.00 90.00 90.00
Space group I-4m2 (No. 119)
Symmetry-distinct sites (fractional):
Sr 0.000 0.000 0.000 x2
Al 0.000 0.500 0.750 x2
Ir 0.000 0.000 0.500 x2
Ir 0.000 0.500 0.250 x2

Properties
The calculation puts the formation energy at 0.218 eV per atom. The density comes out at 11.28 Mg/m³.

Record 15
Below is a relaxed SrAl4Ir crystal, with properties calculated at the GGA-PBE level.

Lattice parameters (Å, degrees): 7.676 7.676 7.676 90.00 90.00 90.00
Space group F-43m (No. 216)
Symmetry-distinct sites (fractional):
Sr 0.000 0.000 0.000 x4
Al 0.125 0.125 0.625 x16
Ir 0.250 0.250 0.250 x4

Properties
The calculation puts the formation energy at 0.064 eV per atom. The density comes out at 5.70 Mg/m³.

Record 16
Below is a relaxed SrAl3Ir crystal, with properties calculated at the GGA-PBE level.

Lattice parameters (Å, degrees): 6.6372 6.6372 11.2294 90.00 90.00 120.00
Space group P6_3/mmc (No. 194)
Symmetry-distinct sites (fractional):
Sr 0.0000 0.0000 0.0000 x2
Sr 0.3333 0.6667 0.2500 x2
Al 0.0000 0.5000 0.0000 x6
Al 0.1446 0.2893 0.7500 x6
Ir 0.3333 0.6667 0.6224 x4

Properties
As for the offset from the most stable computed form: 0.00 eV/f.u. The calculation puts the formation energy at -0.487 eV per atom. The density comes out at 5.59 Mg/m³.

Record 17
Below is a relaxed Sr2AlIr crystal, with properties calculated at the GGA-PBE level.

Lattice parameters (Å, degrees): 4.318 4.718 11.555 90.00 90.00 90.00
Space group Amm2 (No. 38)
Symmetry-distinct sites (fractional):
Sr 0.000 0.000 0.000 x2
Sr 0.500 0.000 0.284 x2
Al 0.000 0.000 0.691 x2
Ir 0.500 0.000 0.592 x2

Properties
The calculation puts the formation energy at -0.340 eV per atom. The density comes out at 5.57 Mg/m³.

Record 18
Below is a relaxed Sr2AlIr crystal, with properties calculated at the GGA-PBE level.

Lattice parameters (Å, degrees): 7.228 7.228 7.228 90.00 90.00 90.00
Space group F-43m (No. 216)
Symmetry-distinct sites (fractional):
Sr 0.000 0.000 0.000 x4
Sr 0.250 0.250 0.250 x4
Al 0.000 0.000 0.500 x4
Ir 0.250 0.250 0.750 x4

Properties
The calculation puts the formation energy at 0.107 eV per atom. The density comes out at 6.94 Mg/m³.

Record 19
Below is a relaxed Sr2AlIr crystal, with properties calculated at the GGA-PBE level.

Lattice parameters (Å, degrees): 3.427 3.583 9.034 90.00 90.00 90.00
Space group Pmm2 (No. 25)
Symmetry-distinct sites (fractional):
Sr 0.000 0.000 0.000 x1
Sr 0.500 0.500 0.408 x1
Al 0.500 0.500 0.748 x1
Ir 0.000 0.000 0.649 x1

Properties
The calculation puts the formation energy at -0.205 eV per atom. The density comes out at 5.90 Mg/m³.

Record 20
Below is a relaxed Sr2AlIr crystal, with properties calculated at the GGA-PBE level.

Lattice parameters (Å, degrees): 7.028 7.036 4.176 90.00 90.00 90.00
Space group Cmmm (No. 65)
Symmetry-distinct sites (fractional):
Sr 0.250 0.250 0.000 x4
Al 0.000 0.000 0.500 x2
Ir 0.000 0.500 0.500 x2

Properties
The calculation puts the formation energy at 0.071 eV per atom. The density comes out at 6.34 Mg/m³.

Record 21
Below is a relaxed SrAl6Ir crystal, with properties calculated at the GGA-PBE level.

Lattice parameters (Å, degrees): 8.415 3.992 10.051 90.00 110.94 90.00
Space group C2/m (No. 12)
Symmetry-distinct sites (fractional):
Sr 0.000 0.000 0.000 x2
Al 0.003 0.500 0.304 x4
Al 0.224 0.000 0.774 x4
Al 0.242 0.500 0.589 x4
Ir 0.000 0.000 0.500 x2

Properties
As for the offset from the most stable computed form: 0.62 eV/f.u. The calculation puts the formation energy at -0.348 eV per atom. The density comes out at 4.65 Mg/m³.

Record 22
Below is a relaxed SrAl3Ir crystal, with properties calculated at the GGA-PBE level.

Lattice parameters (Å, degrees): 11.233 6.488 6.993 90.00 122.39 90.00
Space group Cm (No. 8)
Symmetry-distinct sites (fractional):
Sr 0.000 0.000 0.000 x2
Sr 0.208 0.000 0.627 x2
Al 0.040 0.500 0.069 x2
Al 0.199 0.500 0.530 x2
Al 0.264 0.277 0.069 x4
Al 0.415 0.284 0.529 x4
Ir 0.090 0.500 0.772 x2
Ir 0.423 0.000 0.271 x2

Properties
As for the offset from the most stable computed form: 0.11 eV/f.u. The calculation puts the formation energy at -0.465 eV per atom. The density comes out at 5.57 Mg/m³.

Record 23
Below is a relaxed SrAl2Ir2 crystal, with properties calculated at the GGA-PBE level.

Lattice parameters (Å, degrees): 7.725 7.725 2.913 90.00 90.00 90.00
Space group P4/mbm (No. 127)
Symmetry-distinct sites (fractional):
Sr 0.000 0.000 0.000 x2
Al 0.138 0.362 0.500 x4
Ir 0.150 0.650 0.000 x4

Properties
The calculation puts the formation energy at -0.570 eV per atom. The density comes out at 10.05 Mg/m³.

Record 24
Below is a relaxed SrAl2Ir crystal, with properties calculated at the GGA-PBE level.

Lattice parameters (Å, degrees): 6.774 6.774 6.774 90.00 90.00 90.00
Space group F-43m (No. 216)
Symmetry-distinct sites (fractional):
Sr 0.000 0.000 0.000 x4
Al 0.000 0.000 0.500 x4
Al 0.250 0.250 0.750 x4
Ir 0.250 0.250 0.250 x4

Properties
The calculation puts the formation energy at 0.060 eV per atom. The density comes out at 7.13 Mg/m³.

Record 25
Below is a relaxed Sr2Al2Ir crystal, with properties calculated at the GGA-PBE level.

Lattice parameters (Å, degrees): 4.3056 4.3056 28.5891 90.00 90.00 120.00
Space group R-3m (No. 166, hexagonal axes)
Symmetry-distinct sites (fractional):
Sr 0.0000 0.0000 0.0705 x6
Al 0.0000 0.0000 0.1854 x6
Ir 0.0000 0.0000 0.5000 x3

Properties
As for the offset from the most stable computed form: 0.00 eV/f.u. The calculation puts the formation energy at -0.456 eV per atom. The density comes out at 4.57 Mg/m³.

Record 26
Below is a relaxed SrAlIr2 crystal, with properties calculated at the GGA-PBE level.

Lattice parameters (Å, degrees): 4.668 4.668 3.297 90.00 90.00 90.00
Space group P4/mmm (No. 123)
Symmetry-distinct sites (fractional):
Sr 0.000 0.000 0.000 x1
Al 0.500 0.500 0.000 x1
Ir 0.000 0.500 0.500 x2

Properties
The calculation puts the formation energy at 0.053 eV per atom. The density comes out at 11.53 Mg/m³.

Record 27
Below is a relaxed Sr2AlIr crystal, with properties calculated at the GGA-PBE level.

Lattice parameters (Å, degrees): 7.457 4.295 8.595 90.00 106.74 90.00
Space group Cm (No. 8)
Symmetry-distinct sites (fractional):
Sr 0.000 0.000 0.000 x2
Sr 0.174 0.000 0.525 x2
Al 0.420 0.000 0.262 x2
Ir 0.254 0.500 0.263 x2

Properties
The calculation puts the formation energy at -0.454 eV per atom. The density comes out at 4.97 Mg/m³.